[1]
First-principles (PBE) data for crystalline LiPmNbN3 at its relaxed geometry, as listed in Alexandria.

abc: 3.235 6.833 6.926
angles: 104.41 90.00 90.00
Fractional positions:
N: 0.250 0.135 0.867
N: 0.750 0.216 0.527
N: 0.250 0.550 0.834
N: 0.750 0.865 0.133
N: 0.250 0.784 0.473
N: 0.750 0.450 0.166
Nb: 0.750 0.324 0.819
Nb: 0.250 0.676 0.181
Pm: 0.250 0.209 0.234
Pm: 0.750 0.791 0.766
Li: 0.250 0.079 0.589
Li: 0.750 0.921 0.411

Results
SG = P2_1/m, No. 11
Uncorrected energy = -7.9044 eV per atom



[2]
First-principles (PBE) data for crystalline Na2Th3Te6 at its relaxed geometry, as listed in Alexandria.

abc: 7.634 7.635 8.198
angles: 81.05 71.88 60.00
Fractional positions:
Te: 0.415 0.670 0.756
Te: 0.744 0.000 0.758
Te: 0.915 0.670 0.244
Te: 0.085 0.330 0.756
Te: 0.585 0.330 0.244
Te: 0.256 0.000 0.242
Th: 0.668 0.665 0.000
Th: 0.332 0.335 0.000
Th: 0.000 0.000 0.000
Na: 0.833 0.333 0.500
Na: 0.167 0.667 0.500

Results
SG = C2/m, No. 12
Uncorrected energy = -5.0962 eV per atom



[3]
First-principles (PBE) data for crystalline CeLuAg4 at its relaxed geometry, as listed in Alexandria.

abc: 5.706 5.706 5.706
angles: 60.00 60.00 60.00
Last column: magnetic moment on the atom in μB.
Fractional positions:
Ag: 0.625 0.126 0.625  0.00
Ag: 0.625 0.625 0.126  0.00
Ag: 0.126 0.625 0.625  0.00
Ag: 0.625 0.625 0.625  0.00
Ce: 0.000 0.000 0.000  0.83
Lu: 0.250 0.250 0.250  0.04

Results
SG = F-43m, No. 216
Uncorrected energy = -3.7444 eV per atom



[4]
First-principles (PBE) data for crystalline Mn2CuNi at its relaxed geometry, as listed in Alexandria.

abc: 2.578 2.578 7.094
angles: 90.00 90.00 90.00
Last column: magnetic moment on the atom in μB.
Fractional positions:
Mn: 0.000 0.000 0.007  2.53
Mn: 0.500 0.500 0.253  -2.37
Ni: 0.000 0.000 0.496  -0.30
Cu: 0.500 0.500 0.744  0.08

Results
SG = P4mm, No. 99
Uncorrected energy = -6.9725 eV per atom